1.
The following is a PBE calculation of crystalline ErInAu4 at its relaxed geometry, from Alexandria.

Cell: 4.4877 4.4877 6.8675 Å, 98.50 98.50 67.96°
Last column: nearest neighbours and their distance in Å.
Element x y z (fractional)
Er 0.0000 0.0000 0.0000  8 Au 2.97-2.99
In 0.0000 0.0000 0.5000  8 Au 2.95-2.98
Au 0.3303 0.3303 0.3170  3 Au 2.82-2.86, 3 In 2.95-2.98, 1 Er 2.98
Au 0.3313 0.3313 0.8144  3 Au 2.82-2.86, 3 Er 2.97-2.99, 1 In 2.97
Au 0.6687 0.6687 0.1856  3 Au 2.82-2.86, 3 Er 2.97-2.99, 1 In 2.97
Au 0.6697 0.6697 0.6830  3 Au 2.82-2.86, 3 In 2.95-2.98, 1 Er 2.98

Summary:
E above lowest polymorph = 0.42 eV/f.u.
E_form = -0.455 eV per atom

2.
The following is a PBE calculation of crystalline BiW3S at its relaxed geometry, from Alexandria.

Cell: 4.5485 4.5485 4.5485 Å, 90.00 90.00 90.00°
Last column: nearest neighbours and their distance in Å.
Element x y z (fractional)
Bi 0.0000 0.0000 0.0000  12 W 3.22
W 0.0000 0.5000 0.5000  2 S 2.27
W 0.5000 0.0000 0.5000  2 S 2.27
W 0.5000 0.5000 0.0000  2 S 2.27
S 0.5000 0.5000 0.5000  6 W 2.27

Summary:
E above lowest polymorph = 0.00 eV/f.u.
energy relative to the elements, uncorrected = 5.4 eV/f.u.

3.
The following is a PBE calculation of crystalline MgBeZnRh at its relaxed geometry, from Alexandria.

Cell: 4.2386 4.2386 4.2386 Å, 60.00 60.00 60.00°
Last column: nearest neighbours and their distance in Å.
Element x y z (fractional)
Mg 0.0000 0.0000 0.0000  4 Be 2.60, 4 Zn 2.60
Be 0.2500 0.2500 0.2500  4 Rh 2.60, 4 Mg 2.60
Zn 0.7500 0.7500 0.7500  4 Rh 2.60, 4 Mg 2.60
Rh 0.5000 0.5000 0.5000  4 Zn 2.60, 4 Be 2.60

Summary:
E_form = -0.249 eV per atom

4.
The following is a PBE calculation of crystalline MoWBr at its relaxed geometry, from Alexandria.

Cell: 4.7349 4.7349 4.7349 Å, 142.80 126.40 67.05°
Last column: nearest neighbours and their distance in Å.
Element x y z (fractional)
Mo 0.0000 0.0000 0.0000  5 Br 2.63-2.93, 5 W 2.67-2.91
W 0.6618 0.6618 0.0000  1 Br 2.60, 1 Mo 2.67
Br 0.3330 0.3330 0.0000  1 W 2.60, 1 Mo 2.63

Summary:
E above lowest polymorph = 1.86 eV/f.u.
energy relative to the elements, uncorrected = 3.2 eV/f.u.

5.
The following is a PBE calculation of crystalline PaCoN at its relaxed geometry, from Alexandria.

Cell: 3.6446 3.6446 3.3969 Å, 90.00 90.00 120.00°
Last column: nearest neighbours and their distance in Å.
Element x y z (fractional)
Pa 0.0000 0.0000 0.0000  6 Co 2.70, 6 N 2.70
Co 0.3333 0.6667 0.5000  3 N 2.10
N 0.6667 0.3333 0.5000  3 Co 2.10

Summary:
E above lowest polymorph = 0.55 eV/f.u.
energy relative to the elements, uncorrected = -1.9 eV/f.u.

6.
The following is a PBE calculation of crystalline Pm6TlCo2 at its relaxed geometry, from Alexandria.

Cell: 8.6165 8.6165 8.6165 Å, 112.43 108.58 107.45°
Last column: nearest neighbours and their distance in Å.
Element x y z (fractional)
Pm 0.0273 0.2339 0.7934  1 Co 2.75
Pm 0.1834 0.2864 0.4698  3 Co 2.98-3.18, 1 Tl 3.31
Pm 0.1834 0.7136 0.8970  3 Co 2.98-3.18, 1 Tl 3.31
Pm 0.3238 0.0100 0.6861  3 Co 2.81-2.98
Pm 0.3238 0.6377 0.3139  3 Co 2.81-2.98
Pm 0.4405 0.2339 0.2066  1 Co 2.75
Pm 0.5595 0.7661 0.7934  1 Co 2.75
Pm 0.6762 0.3623 0.6861  3 Co 2.81-2.98
Pm 0.6762 0.9900 0.3139  3 Co 2.81-2.98
Pm 0.8166 0.2864 0.1030  3 Co 2.98-3.18, 1 Tl 3.31
Pm 0.8166 0.7136 0.5302  3 Co 2.98-3.18, 1 Tl 3.31
Pm 0.9727 0.7661 0.2066  1 Co 2.75
Tl 0.0000 0.0000 0.0000  8 Pm 3.16-3.31, 2 Co 3.45
Tl 0.5000 0.5000 0.0000  12 Pm 3.42-3.79
Co 0.1110 0.6110 0.5000  1 Co 2.26
Co 0.3434 0.0000 0.3434  6 Pm 2.75-2.98
Co 0.6566 0.0000 0.6566  6 Pm 2.75-2.98
Co 0.8890 0.3890 0.5000  1 Co 2.26

Summary:
E above lowest polymorph = 0.00 eV/f.u.
E_form = -0.168 eV per atom

7.
The following is a PBE calculation of crystalline LiSnSe2N at its relaxed geometry, from Alexandria.

Cell: 5.0010 5.0010 3.9440 Å, 90.00 90.00 90.00°
Last column: nearest neighbours and their distance in Å.
Element x y z (fractional)
Li 0.0000 0.0000 0.0000  2 N 1.97
Sn 0.5000 0.5000 0.5000  8 Se 3.18, 4 N 3.54
Se 0.0000 0.5000 0.0000  2 Li 2.50
Se 0.5000 0.0000 0.0000  2 Li 2.50
N 0.0000 0.0000 0.5000  2 Li 1.97

Summary:
E above lowest polymorph = 1.14 eV/f.u.
energy relative to the elements, uncorrected = 3.2 eV/f.u.

8.
The following is a PBE calculation of crystalline NaAl4F12 at its relaxed geometry, from Alexandria.

Cell: 6.4725 6.4725 6.4725 Å, 109.47 109.47 109.47°
Last column: nearest neighbours and their distance in Å.
Element x y z (fractional)
Na 0.0000 0.0000 0.0000  12 F 2.60
Al 0.0000 0.0000 0.5000  6 F 1.87
Al 0.0000 0.5000 0.0000  6 F 1.87
Al 0.5000 0.0000 0.0000  6 F 1.87
Al 0.5000 0.5000 0.5000  6 F 1.87
F 0.0130 0.7601 0.2529  2 Al 1.87
F 0.2399 0.2529 0.4927  2 Al 1.87
F 0.2399 0.7471 0.9870  2 Al 1.87
F 0.2529 0.0130 0.7601  2 Al 1.87
F 0.2529 0.4927 0.2399  2 Al 1.87
F 0.4927 0.2399 0.2529  2 Al 1.87
F 0.5073 0.7601 0.7471  2 Al 1.87
F 0.7471 0.5073 0.7601  2 Al 1.87
F 0.7471 0.9870 0.2399  2 Al 1.87
F 0.7601 0.2529 0.0130  2 Al 1.87
F 0.7601 0.7471 0.5073  2 Al 1.87
F 0.9870 0.2399 0.7471  2 Al 1.87

Summary:
energy relative to the elements, uncorrected = -54.9 eV/f.u.

9.
The following is a PBE calculation of crystalline Pa2BSb at its relaxed geometry, from Alexandria.

Cell: 7.4127 7.4127 7.4127 Å, 30.55 30.55 30.55°
Last column: nearest neighbours and their distance in Å.
Element x y z (fractional)
Pa 0.2304 0.2304 0.2304  3 B 2.63
Pa 0.7696 0.7696 0.7696  3 B 2.63
B 0.5000 0.5000 0.5000  6 Pa 2.63
Sb 0.0000 0.0000 0.0000  6 Pa 3.14

Summary:
energy relative to the elements, uncorrected = -1.2 eV/f.u.

10.
The following is a PBE calculation of crystalline TbSi4Ni4 at its relaxed geometry, from Alexandria.

Cell: 5.6417 5.6417 7.8016 Å, 90.00 90.00 90.00°
Last column: nearest neighbours and their distance in Å.
Element x y z (fractional)
Tb 0.2500 0.7500 0.2500  4 Si 2.99, 8 Ni 3.22
Tb 0.7500 0.2500 0.7500  4 Si 2.99, 8 Ni 3.22
Si 0.0393 0.2500 0.0709  5 Ni 2.30-2.37, 1 Si 2.38
Si 0.2500 0.0393 0.5709  5 Ni 2.30-2.37, 1 Si 2.38
Si 0.2500 0.4607 0.5709  5 Ni 2.30-2.37, 1 Si 2.38
Si 0.4607 0.2500 0.0709  5 Ni 2.30-2.37, 1 Si 2.38
Si 0.5393 0.7500 0.9291  5 Ni 2.30-2.37, 1 Si 2.38
Si 0.7500 0.5393 0.4291  5 Ni 2.30-2.37, 1 Si 2.38
Si 0.7500 0.9607 0.4291  5 Ni 2.30-2.37, 1 Si 2.38
Si 0.9607 0.7500 0.9291  5 Ni 2.30-2.37, 1 Si 2.38
Ni 0.0235 0.2500 0.3653  5 Si 2.30-2.37, 1 Ni 2.56
Ni 0.2500 0.0235 0.8653  5 Si 2.30-2.37, 1 Ni 2.56
Ni 0.2500 0.4765 0.8653  5 Si 2.30-2.37, 1 Ni 2.56
Ni 0.4765 0.2500 0.3653  5 Si 2.30-2.37, 1 Ni 2.56
Ni 0.5235 0.7500 0.6347  5 Si 2.30-2.37, 1 Ni 2.56
Ni 0.7500 0.5235 0.1347  5 Si 2.30-2.37, 1 Ni 2.56
Ni 0.7500 0.9765 0.1347  5 Si 2.30-2.37, 1 Ni 2.56
Ni 0.9765 0.7500 0.6347  5 Si 2.30-2.37, 1 Ni 2.56

Summary:
energy relative to the elements, uncorrected = -5.5 eV/f.u.

11.
The following is a PBE calculation of crystalline Cu5Mo at its relaxed geometry, from Alexandria.

Cell: 5.1577 5.1577 6.2498 Å, 104.84 104.84 28.46°
Last column: nearest neighbours and their distance in Å.
Element x y z (fractional)
Cu 0.0000 0.0000 0.0000  10 Cu 2.54-2.79, 2 Mo 2.69
Cu 0.0508 0.0508 0.6216  10 Cu 2.54-2.70, 2 Mo 2.67
Cu 0.3277 0.3277 0.6773  11 Cu 2.54-2.70, 1 Mo 2.67
Cu 0.6571 0.6571 0.3418  9 Cu 2.54-2.72, 3 Mo 2.68-2.70
Cu 0.7130 0.7130 0.9388  10 Cu 2.54-2.79, 2 Mo 2.66
Mo 0.3798 0.3798 0.2803  2 Mo 2.54, 10 Cu 2.66-2.70

Summary:
E above lowest polymorph = 0.64 eV/f.u.
E_form = 0.185 eV per atom

12.
The following is a PBE calculation of crystalline CeSm4Ga4 at its relaxed geometry, from Alexandria.

Cell: 8.6846 8.6846 5.9514 Å, 90.00 90.00 90.00°
Last column: nearest neighbours and their distance in Å.
Element x y z (fractional)
Ce 0.2500 0.2500 0.2500  4 Sm 2.95, 4 Ga 3.06
Ce 0.7500 0.7500 0.7500  4 Sm 2.95, 4 Ga 3.06
Sm 0.0730 0.8224 0.6360  1 Ce 2.95, 4 Ga 3.07-3.25
Sm 0.1776 0.5730 0.1360  1 Ce 2.95, 4 Ga 3.07-3.25
Sm 0.3224 0.9270 0.1360  1 Ce 2.95, 4 Ga 3.07-3.25
Sm 0.4270 0.6776 0.6360  1 Ce 2.95, 4 Ga 3.07-3.25
Sm 0.5730 0.3224 0.3640  1 Ce 2.95, 4 Ga 3.07-3.25
Sm 0.6776 0.0730 0.8640  1 Ce 2.95, 4 Ga 3.07-3.25
Sm 0.8224 0.4270 0.8640  1 Ce 2.95, 4 Ga 3.07-3.25
Sm 0.9270 0.1776 0.3640  1 Ce 2.95, 4 Ga 3.07-3.25
Ga 0.0503 0.1564 0.8498  2 Ga 2.96, 1 Ce 3.06, 4 Sm 3.07-3.25
Ga 0.1564 0.4497 0.6502  2 Ga 2.96, 1 Ce 3.06, 4 Sm 3.07-3.25
Ga 0.3436 0.0503 0.6502  2 Ga 2.96, 1 Ce 3.06, 4 Sm 3.07-3.25
Ga 0.4497 0.3436 0.8498  2 Ga 2.96, 1 Ce 3.06, 4 Sm 3.07-3.25
Ga 0.5503 0.6564 0.1502  2 Ga 2.96, 1 Ce 3.06, 4 Sm 3.07-3.25
Ga 0.6564 0.9497 0.3498  2 Ga 2.96, 1 Ce 3.06, 4 Sm 3.07-3.25
Ga 0.8436 0.5503 0.3498  2 Ga 2.96, 1 Ce 3.06, 4 Sm 3.07-3.25
Ga 0.9497 0.8436 0.1502  2 Ga 2.96, 1 Ce 3.06, 4 Sm 3.07-3.25

Summary:
E_form = -0.298 eV per atom